Entry 1:
Tb4Ho6Tm: optimized geometry, PBE.

Unit cell a=8.438 b=8.438 c=8.438 alpha=127.25 beta=127.25 gamma=77.85
Positions (direct):
Tb (0.253, 0.253, 0.661)
Tb (0.408, 0.747, 0.000)
Tb (0.592, 0.592, 0.339)
Tb (0.747, 0.408, 0.000)
Ho (0.000, 0.500, 0.500)
Ho (0.051, 0.580, 0.000)
Ho (0.420, 0.420, 0.471)
Ho (0.500, 0.000, 0.500)
Ho (0.580, 0.051, 0.000)
Ho (0.949, 0.949, 0.529)
Tm (0.000, 0.000, 0.000)

Values from the calculation:
energy relative to the elements	0.45	eV/atom
space group	I-42m
energy relative to the lowest polymorph listed for this composition	319	meV/atom


Entry 2:
U3Sn7: optimized geometry, PBE.

Unit cell a=12.331 b=12.331 c=4.622 alpha=90.00 beta=90.00 gamma=159.06
Positions (direct):
U (0.000, 0.000, 0.000)
U (0.191, 0.809, 0.000)
U (0.809, 0.191, 0.000)
Sn (0.098, 0.902, 0.500)
Sn (0.294, 0.706, 0.500)
Sn (0.403, 0.597, 0.000)
Sn (0.500, 0.500, 0.500)
Sn (0.597, 0.403, 0.000)
Sn (0.706, 0.294, 0.500)
Sn (0.902, 0.098, 0.500)

Values from the calculation:
energy relative to the elements	-0.12	eV/atom
space group	Cmmm


Entry 3:
Tm2Si4TcPt3: optimized geometry, PBE.

Unit cell a=4.152 b=4.152 c=9.896 alpha=90.00 beta=90.00 gamma=90.00
Positions (direct):
Tm (0.000, 0.500, 0.248)
Tm (0.500, 0.000, 0.752)
Si (0.000, 0.000, 0.000)
Si (0.000, 0.500, 0.629)
Si (0.500, 0.000, 0.371)
Si (0.500, 0.500, 0.000)
Tc (0.000, 0.000, 0.500)
Pt (0.000, 0.500, 0.871)
Pt (0.500, 0.000, 0.129)
Pt (0.500, 0.500, 0.500)

Values from the calculation:
space group	P-4m2
energy	-0.2541	hartree per atom


Entry 4:
AgW2Au: optimized geometry, PBE.

Unit cell a=4.566 b=4.566 c=4.566 alpha=60.00 beta=60.00 gamma=60.00
Positions (direct):
Ag (0.000, 0.000, 0.000)
W (0.250, 0.250, 0.250)
W (0.750, 0.750, 0.750)
Au (0.500, 0.500, 0.500)

Values from the calculation:
energy relative to the elements	1.00	eV/atom
space group	Fm-3m
energy relative to the lowest polymorph listed for this composition	711	meV/atom


Entry 5:
Tc2OsSe: optimized geometry, PBE.

Unit cell a=2.741 b=2.741 c=9.612 alpha=90.00 beta=90.00 gamma=117.95
Positions (direct):
Tc (0.000, 0.000, 0.000)
Tc (0.500, 0.500, 0.235)
Os (0.500, 0.500, 0.771)
Se (0.000, 0.000, 0.471)

Values from the calculation:
space group	Cmm2
energy	-0.3015	hartree per atom


Entry 6:
CaEu2Mg: optimized geometry, PBE.

Unit cell a=5.284 b=5.284 c=5.345 alpha=90.00 beta=90.00 gamma=90.00
Positions (direct):
Ca (0.000, 0.000, 0.000)
Eu (0.000, 0.500, 0.500)
Eu (0.500, 0.000, 0.500)
Mg (0.500, 0.500, 0.000)

Values from the calculation:
energy relative to the elements	0.01	eV/atom
space group	P4/mmm
energy relative to the lowest polymorph listed for this composition	42	meV/atom


Entry 7:
PrMgGa: optimized geometry, PBE.

Unit cell a=7.508 b=7.508 c=4.576 alpha=90.00 beta=90.00 gamma=120.00
Positions (direct):
Pr (0.000, 0.422, 0.000)
Pr (0.422, 0.000, 0.000)
Pr (0.578, 0.578, 0.000)
Mg (0.000, 0.758, 0.500)
Mg (0.242, 0.242, 0.500)
Mg (0.758, 0.000, 0.500)
Ga (0.000, 0.000, 0.000)
Ga (0.333, 0.667, 0.500)
Ga (0.667, 0.333, 0.500)

Values from the calculation:
energy relative to the elements	-0.49	eV/atom
space group	P-62m
energy relative to the lowest polymorph listed for this composition	0	meV/atom


Entry 8:
AgAsI: optimized geometry, PBE.

Unit cell a=3.771 b=7.657 c=7.720 alpha=67.99 beta=89.37 gamma=89.45
Positions (direct):
Ag (0.248, 0.402, 0.175)
Ag (0.752, 0.598, 0.825)
As (0.248, 0.105, 0.482)
As (0.752, 0.895, 0.518)
I (0.257, 0.301, 0.854)
I (0.743, 0.699, 0.146)

Values from the calculation:
space group	P-1
energy	-0.1099	hartree per atom


Entry 9:
CsUMn2Te4: optimized geometry, PBE.

Unit cell a=8.724 b=8.724 c=8.724 alpha=147.48 beta=111.78 gamma=77.62
Positions (direct):
Cs (0.000, 0.000, 0.000)
U (0.500, 0.500, 0.000)
Mn (0.428, 0.928, 0.500)
Mn (0.572, 0.072, 0.500)
Te (0.157, 0.112, 0.569)
Te (0.457, 0.888, 0.045)
Te (0.543, 0.588, 0.431)
Te (0.843, 0.412, 0.955)

Values from the calculation:
space group	I222
energy	-0.2028	hartree per atom


Entry 10:
Dy3Al2Cu6: optimized geometry, PBE.

Unit cell a=7.921 b=7.921 c=7.921 alpha=109.47 beta=109.47 gamma=109.47
Positions (direct):
Dy (0.000, 0.279, 0.279)
Dy (0.000, 0.721, 0.721)
Dy (0.279, 0.000, 0.279)
Dy (0.279, 0.279, 0.000)
Dy (0.721, 0.000, 0.721)
Dy (0.721, 0.721, 0.000)
Al (0.000, 0.000, 0.500)
Al (0.000, 0.500, 0.000)
Al (0.500, 0.000, 0.000)
Al (0.500, 0.500, 0.500)
Cu (0.000, 0.334, 0.666)
Cu (0.000, 0.666, 0.334)
Cu (0.333, 0.666, 0.666)
Cu (0.334, 0.000, 0.666)
Cu (0.334, 0.334, 0.667)
Cu (0.334, 0.666, 0.000)
Cu (0.334, 0.667, 0.334)
Cu (0.666, 0.000, 0.334)
Cu (0.666, 0.333, 0.666)
Cu (0.666, 0.334, 0.000)
Cu (0.666, 0.666, 0.333)
Cu (0.667, 0.334, 0.334)

Values from the calculation:
energy relative to the elements	-0.33	eV/atom
space group	Im-3m


Entry 11:
Sm4Te5F2: optimized geometry, PBE.

Unit cell a=10.963 b=10.963 c=9.054 alpha=102.87 beta=102.87 gamma=23.00
Positions (direct):
Sm (0.038, 0.038, 0.263)
Sm (0.332, 0.332, 0.467)
Sm (0.668, 0.668, 0.533)
Sm (0.962, 0.962, 0.737)
Te (0.095, 0.095, 0.662)
Te (0.190, 0.190, 0.296)
Te (0.500, 0.500, 0.000)
Te (0.810, 0.810, 0.704)
Te (0.905, 0.905, 0.338)
F (0.433, 0.433, 0.645)
F (0.567, 0.567, 0.355)

Values from the calculation:
space group	C2/m
energy	-0.2006	hartree per atom


Entry 12:
Sr2RhCl6: optimized geometry, PBE.

Unit cell a=6.589 b=6.589 c=12.342 alpha=90.00 beta=90.00 gamma=90.00
Positions (direct):
Sr (0.000, 0.000, 0.166)
Sr (0.000, 0.000, 0.834)
Sr (0.500, 0.500, 0.334)
Sr (0.500, 0.500, 0.666)
Rh (0.000, 0.000, 0.500)
Rh (0.500, 0.500, 0.000)
Cl (0.180, 0.180, 0.359)
Cl (0.180, 0.180, 0.641)
Cl (0.211, 0.211, 0.000)
Cl (0.289, 0.711, 0.500)
Cl (0.320, 0.680, 0.141)
Cl (0.320, 0.680, 0.859)
Cl (0.680, 0.320, 0.141)
Cl (0.680, 0.320, 0.859)
Cl (0.711, 0.289, 0.500)
Cl (0.789, 0.789, 0.000)
Cl (0.820, 0.820, 0.359)
Cl (0.820, 0.820, 0.641)

Values from the calculation:
space group	P4_2/mnm
energy	-0.1505	hartree per atom


| no. | size of the total moment (μB/cell) |
| --- | --- |
| 1 | 0.000 |
| 2 | 2.866 |
| 3 | 0.000 |
| 4 | 0.000 |
| 5 | 0.000 |
| 6 | 15.514 |
| 7 | 0.000 |
| 8 | 0.000 |
| 9 | 0.000 |
| 10 | 0.000 |
| 11 | 0.000 |
| 12 | 2.000 |